! PBE-GGA Sm5Y4Sc3, relaxed; values from VASP
! Crystal system = monoclinic
! DOS at the Fermi energy = 21.3 states/eV per cell
! Calculated formation energy = 0.22 eV per atom
! Density = 5.46 Mg/m³
&SYSTEM
  ibrav = 0, nat = 12, ntyp = 3
/
ATOMIC_SPECIES
Sm 150.36 Sm.upf
Y 88.91 Y.upf
Sc 44.96 Sc.upf
ATOMIC_POSITIONS crystal
Sm 0.0000 0.0000 0.0000
Sm 0.0722 0.0722 0.7012
Sm 0.2890 0.2890 0.7594
Sm 0.7110 0.7110 0.2406
Sm 0.9278 0.9278 0.2988
Y 0.2897 0.2897 0.1186
Y 0.4152 0.4152 0.5594
Y 0.5848 0.5848 0.4406
Y 0.7103 0.7103 0.8814
Sc 0.1744 0.1744 0.3861
Sc 0.5000 0.5000 0.0000
Sc 0.8256 0.8256 0.6139
CELL_PARAMETERS angstrom
7.9051 -2.9009 0.0000
7.9051 2.9009 0.0000
-4.2760 0.0000 8.2397